First-principles (PBE) data for an optimized crystal structure of ErThCoCu, as listed in the Alexandria database.

Cell lengths 3.794, 3.869, 6.041 Å; angles 90.00, 108.30, 90.00 degrees
Positions (direct):
Cu: 0.573 0.500 0.147
Co: 0.406 0.000 0.811
Th: 0.872 0.500 0.745
Er: 0.149 0.000 0.298

Values from the calculation:
The space group is Amm2, No. 38. The value obtained for the energy above the most stable polymorph in this dataset is 0 kJ/mol of formula units. Its crystal system is orthorhombic.


First-principles (PBE) data for an optimized crystal structure of YErCoCu, as listed in the Alexandria database.

Cell lengths 4.797, 4.797, 4.797 Å; angles 60.00, 60.00, 60.00 degrees
Last column: magnetic moment on the atom in μB.
Positions (direct):
Cu: 0.000 0.000 0.000  0.00
Y: 0.750 0.750 0.750  -0.06
Co: 0.500 0.500 0.500  0.53
Er: 0.250 0.250 0.250  -0.08

Values from the calculation:
The space group is F-43m, No. 216. The value obtained for the energy above the most stable polymorph in this dataset is 10 kJ/mol of formula units. Its crystal system is cubic.


First-principles (PBE) data for an optimized crystal structure of YErCoCu, as listed in the Alexandria database.

Cell lengths 3.879, 4.065, 5.532 Å; angles 90.00, 110.52, 90.00 degrees
Positions (direct):
Cu: 0.566 0.500 0.133
Co: 0.428 0.000 0.855
Er: 0.862 0.500 0.724
Y: 0.144 0.000 0.289

Values from the calculation:
The space group is Amm2, No. 38. The value obtained for the energy above the most stable polymorph in this dataset is 0 kJ/mol of formula units. Its crystal system is orthorhombic.


First-principles (PBE) data for an optimized crystal structure of Er4ZnCoCu2, as listed in the Alexandria database.

Cell lengths 4.849, 4.849, 8.369 Å; angles 73.16, 73.16, 60.00 degrees
Positions (direct):
Er: 0.130 0.130 0.611
Er: 0.619 0.619 0.142
Er: 0.870 0.870 0.389
Er: 0.381 0.381 0.858
Cu: 0.746 0.746 0.763
Cu: 0.254 0.254 0.237
Zn: 0.000 0.000 0.000
Co: 0.500 0.500 0.500

Values from the calculation:
The space group is R-3m, No. 166. Its crystal system is trigonal.


First-principles (PBE) data for an optimized crystal structure of ErZnCoCu, as listed in the Alexandria database.

Cell lengths 4.462, 4.462, 4.462 Å; angles 60.00, 60.00, 60.00 degrees
Positions (direct):
Zn: 0.000 0.000 0.000
Co: 0.750 0.750 0.750
Cu: 0.250 0.250 0.250
Er: 0.500 0.500 0.500

Values from the calculation:
The space group is F-43m, No. 216. Its crystal system is cubic.


First-principles (PBE) data for an optimized crystal structure of Eu2CoCu, as listed in the Alexandria database.

Cell lengths 3.524, 3.524, 7.227 Å; angles 90.00, 90.00, 90.00 degrees
Last column: magnetic moment on the atom in μB.
Positions (direct):
Cu: 0.500 0.500 0.500  0.01
Eu: 0.000 0.000 0.236  6.90
Eu: 0.000 0.000 0.764  6.90
Co: 0.500 0.500 0.000  -1.29

Values from the calculation:
The space group is P4/mmm, No. 123. The value obtained for the energy above the most stable polymorph in this dataset is 0 kJ/mol of formula units. Its crystal system is tetragonal.


First-principles (PBE) data for an optimized crystal structure of EuCoCu, as listed in the Alexandria database.

Cell lengths 4.016, 4.125, 4.125 Å; angles 120.00, 90.00, 90.00 degrees
Last column: magnetic moment on the atom in μB.
Positions (direct):
Cu: 0.167 0.667 0.333  -0.08
Co: 0.167 0.000 0.000  -1.31
Eu: 0.667 0.333 0.667  6.80

Values from the calculation:
The space group is P-6m2, No. 187. Its crystal system is hexagonal.


First-principles (PBE) data for an optimized crystal structure of LaEuCoCu, as listed in the Alexandria database.

Cell lengths 5.018, 5.018, 5.018 Å; angles 60.00, 60.00, 60.00 degrees
Last column: magnetic moment on the atom in μB.
Positions (direct):
La: 0.500 0.500 0.500  0.16
Cu: 0.250 0.250 0.250  0.02
Eu: 0.000 0.000 0.000  6.86
Co: 0.750 0.750 0.750  -0.81

Values from the calculation:
The space group is F-43m, No. 216. Its crystal system is cubic.


The records above give, respectively, energy of formation values of -0.30, -0.20, -0.22, -0.29, -0.10, 0.10, 0.13, 0.02 eV/atom.